Record 1
A relaxed MgNiW2 crystal. Source: Alexandria, functional PBE-GGA. Values from VASP.

Quantum ESPRESSO input file:
```
&SYSTEM
  ibrav = 0, nat = 4, ntyp = 3
/
ATOMIC_SPECIES
Ni 58.69 Ni.upf
W 183.84 W.upf
Mg 24.30 Mg.upf
CELL_PARAMETERS angstrom
-2.909 2.851 -1.504
-1.974 -1.674 0.645
-0.861 1.729 4.943
ATOMIC_POSITIONS crystal
Ni 0.500 0.717 0.746
W 0.500 0.222 0.245
Mg 0.000 0.555 0.509
W 0.000 0.005 0.000
```

Space-group type: Pm (6)
Energy of formation from the pure elements in eV/atom: 0.277

Record 2
A relaxed MgNiW2 crystal. Source: Alexandria, functional PBE-GGA. Values from VASP.

Quantum ESPRESSO input file:
```
&SYSTEM
  ibrav = 0, nat = 4, ntyp = 3
/
ATOMIC_SPECIES
W 183.84 W.upf
Ni 58.69 Ni.upf
Mg 24.30 Mg.upf
CELL_PARAMETERS angstrom
5.383 -0.001 -0.004
4.533 2.905 -0.004
1.749 0.512 3.925
ATOMIC_POSITIONS crystal
W 0.517 0.517 0.483
W 0.983 0.983 0.017
Ni 0.250 0.250 0.250
Mg 0.750 0.750 0.750
```

Space-group type: C2/m (12)
Energy of formation from the pure elements in eV/atom: 0.241

Record 3
A relaxed MgNiW2 crystal. Source: Alexandria, functional PBE-GGA. Values from VASP.

Quantum ESPRESSO input file:
```
&SYSTEM
  ibrav = 0, nat = 4, ntyp = 3
/
ATOMIC_SPECIES
W 183.84 W.upf
Mg 24.30 Mg.upf
Ni 58.69 Ni.upf
CELL_PARAMETERS angstrom
3.208 0.000 0.000
0.000 3.208 0.000
0.000 0.000 6.089
ATOMIC_POSITIONS crystal
W 0.000 0.000 0.005
W 0.500 0.500 0.223
Mg 0.000 0.000 0.518
Ni 0.500 0.500 0.754
```

Space-group type: P4mm (99)
Energy of formation from the pure elements in eV/atom: 0.291

Record 4
A relaxed MgNi14W crystal. Source: Alexandria, functional PBE-GGA. Values from VASP.

Quantum ESPRESSO input file:
```
&SYSTEM
  ibrav = 0, nat = 16, ntyp = 3
/
ATOMIC_SPECIES
Ni 58.69 Ni.upf
Mg 24.30 Mg.upf
W 183.84 W.upf
CELL_PARAMETERS angstrom
5.069 -0.011 0.000
0.011 5.069 0.000
0.000 0.000 7.123
ATOMIC_POSITIONS crystal
Ni 0.875 0.375 0.000
Ni 0.628 0.122 0.242
Ni 0.628 0.122 0.758
Ni 0.875 0.375 0.500
Mg 0.375 0.375 0.500
W 0.875 0.875 0.500
Ni 0.375 0.375 0.000
Ni 0.375 0.875 0.500
Ni 0.875 0.875 0.000
Ni 0.375 0.875 0.000
Ni 0.628 0.628 0.758
Ni 0.628 0.628 0.242
Ni 0.122 0.628 0.242
Ni 0.122 0.122 0.758
Ni 0.122 0.122 0.242
Ni 0.122 0.628 0.758
```

Space-group type: P4/mmm (123)
Energy of formation from the pure elements in eV/atom: -0.043